1.
VASP calculation (PBE) on an optimized crystal structure of CePm12Tm7.

- Space-group type: R-3m (166)
- VASP energy: -4.47 eV per atom
- Energy relative to the elements: 0.2439 eV/atom
- Relative energy among the computed polymorphs: 0 meV/atom
- Total moment: 1.39 μB/f.u.

Cell lengths 10.1621, 10.1621, 10.1621 Å; angles 113.17, 113.17, 113.17 degrees
Site moments in Bohr magnetons follow the coordinates.
Fractional coordinates of all 20 atoms:
Pm1 0.2876 0.7124 0.0000  0.00
Pm2 0.7124 0.0000 0.2876  0.00
Pm3 0.0000 0.7124 0.2876  0.00
Pm4 0.5920 0.9308 0.5920  0.01
Pm5 0.0692 0.4080 0.4080  0.01
Pm6 0.4080 0.0692 0.4080  0.01
Pm7 0.4080 0.4080 0.0692  0.01
Pm8 0.0000 0.2876 0.7124  0.00
Pm9 0.7124 0.2876 0.0000  0.00
Pm10 0.5920 0.5920 0.9308  0.01
Pm11 0.9308 0.5920 0.5920  0.01
Pm12 0.2876 0.0000 0.7124  0.00
Tm1 0.5000 0.5000 0.5000  0.02
Tm2 0.5062 0.8367 0.8367  0.01
Tm3 0.8367 0.8367 0.5062  0.01
Tm4 0.1633 0.1633 0.4938  0.01
Tm5 0.4938 0.1633 0.1633  0.01
Tm6 0.8367 0.5062 0.8367  0.01
Tm7 0.1633 0.4938 0.1633  0.01
Ce1 0.0000 0.0000 0.0000  0.99

---

2.
VASP calculation (PBE) on an optimized crystal structure of Ce2Pm7Tm2.

- Space-group type: C2/m (12)
- VASP energy: -4.72 eV per atom
- Energy relative to the elements: 0.1961 eV/atom
- Total moment: 2.05 μB/f.u.

Cell lengths 6.0554, 8.0912, 8.0912 Å; angles 92.85, 75.13, 75.13 degrees
Site moments in Bohr magnetons follow the coordinates.
Fractional coordinates of all 11 atoms:
Pm1 0.1951 0.5903 0.5903  0.01
Pm2 0.0000 0.0000 0.0000  0.03
Pm3 0.1808 0.5843 0.0698  0.03
Pm4 0.1808 0.0698 0.5843  0.03
Pm5 0.8049 0.4097 0.4097  0.01
Pm6 0.8192 0.4157 0.9302  0.03
Pm7 0.8192 0.9302 0.4157  0.03
Ce1 0.5000 0.7844 0.2156  0.70
Ce2 0.5000 0.2156 0.7844  0.70
Tm1 0.5795 0.7745 0.7745  0.04
Tm2 0.4205 0.2255 0.2255  0.04

---

3.
VASP calculation (PBE) on an optimized crystal structure of CePm6Tm10.

- Space-group type: P-31m (162)
- VASP energy: -4.51 eV per atom
- Energy relative to the elements: 0.1447 eV/atom
- Total moment: 1.35 μB/f.u.

Cell lengths 6.8449, 9.6011, 9.6011 Å; angles 120.00, 90.00, 90.00 degrees
Site moments in Bohr magnetons follow the coordinates.
Fractional coordinates of all 17 atoms:
Pm1 0.6991 0.0000 0.6208  0.01
Pm2 0.3009 0.6208 0.6208  0.01
Pm3 0.3009 0.0000 0.3792  0.01
Pm4 0.3009 0.3792 0.0000  0.01
Pm5 0.6991 0.3792 0.3792  0.01
Pm6 0.6991 0.6208 0.0000  0.01
Tm1 0.1800 0.2726 0.2726  0.02
Tm2 0.5000 0.6667 0.3333  0.01
Tm3 0.0000 0.6667 0.3333  0.01
Tm4 0.8200 0.0000 0.2726  0.02
Tm5 0.8200 0.2726 0.0000  0.02
Tm6 0.1800 0.7274 0.0000  0.02
Tm7 0.8200 0.7274 0.7274  0.02
Tm8 0.5000 0.3333 0.6667  0.01
Tm9 0.0000 0.3333 0.6667  0.01
Tm10 0.1800 0.0000 0.7274  0.02
Ce1 0.5000 0.0000 0.0000  0.89

---

4.
VASP calculation (PBE) on an optimized crystal structure of CePm4Tm.

- Space-group type: P2_1/c (14)
- VASP energy: -4.85 eV per atom
- Energy relative to the elements: 0.0537 eV/atom
- Relative energy among the computed polymorphs: 0 meV/atom
- Total moment: 0.86 μB/f.u.

Cell lengths 3.5936, 6.2196, 17.7020 Å; angles 90.06, 90.00, 90.00 degrees
Site moments in Bohr magnetons follow the coordinates.
Fractional coordinates of all 12 atoms:
Pm1 0.0017 0.3293 0.6635  0.00
Pm2 0.0012 0.6643 0.8362  0.00
Pm3 0.9988 0.3357 0.1638  0.00
Pm4 0.5017 0.1707 0.8365  0.00
Pm5 0.9983 0.6707 0.3365  0.00
Pm6 0.4988 0.1643 0.3362  0.00
Pm7 0.4983 0.8293 0.1635  0.00
Pm8 0.5012 0.8357 0.6638  0.00
Ce1 0.5000 0.5000 0.0000  0.69
Ce2 0.0000 0.0000 0.5000  0.69
Tm1 0.0000 0.0000 0.0000  0.03
Tm2 0.5000 0.5000 0.5000  0.03

---

5.
VASP calculation (PBE) on an optimized crystal structure of CePm3Tm3.

- Space-group type: C2/m (12)
- VASP energy: -4.58 eV per atom
- Energy relative to the elements: 0.2189 eV/atom
- Total moment: 1.28 μB/f.u.

Cell lengths 8.0801, 8.0801, 7.1622 Å; angles 90.00, 90.00, 89.79 degrees
Site moments in Bohr magnetons follow the coordinates.
Fractional coordinates of all 14 atoms:
Tm1 0.2901 0.7099 0.5000  0.00
Tm2 0.7174 0.7174 0.4991  0.03
Tm3 0.7099 0.2901 0.5000  0.00
Tm4 0.2764 0.7236 0.0000  0.06
Tm5 0.2826 0.2826 0.5009  0.03
Tm6 0.7236 0.2764 0.0000  0.06
Pm1 0.9994 0.5005 0.7521  0.04
Pm2 0.0002 0.0002 0.2513  0.00
Pm3 0.9998 0.9998 0.7487  0.00
Pm4 0.0006 0.4995 0.2479  0.04
Pm5 0.5005 0.9994 0.7521  0.04
Pm6 0.4995 0.0006 0.2479  0.04
Ce1 0.7038 0.7038 0.0007  0.85
Ce2 0.2962 0.2962 0.9993  0.85

---

6.
VASP calculation (PBE) on an optimized crystal structure of CePm8Tm6.

- Space-group type: P-3 (147)
- VASP energy: -4.59 eV per atom
- Energy relative to the elements: 0.1284 eV/atom
- Total moment: 0.00 μB/f.u.

Cell lengths 5.8739, 9.8036, 9.8036 Å; angles 120.00, 90.00, 90.00 degrees
Fractional coordinates of all 15 atoms:
Pm1 0.7689 0.0499 0.2678
Pm2 0.2263 0.6667 0.3333
Pm3 0.2311 0.7821 0.0499
Pm4 0.7689 0.7322 0.7821
Pm5 0.2311 0.2678 0.2179
Pm6 0.7689 0.2179 0.9501
Pm7 0.7737 0.3333 0.6667
Pm8 0.2311 0.9501 0.7322
Tm1 0.7436 0.6191 0.0930
Tm2 0.2564 0.3809 0.9070
Tm3 0.7436 0.9070 0.5261
Tm4 0.2564 0.5261 0.6191
Tm5 0.7436 0.4739 0.3809
Tm6 0.2564 0.0930 0.4739
Ce1 0.5000 0.0000 0.0000

---

Computed values of V (unit: Å³/cell) for the preceding records, in sequence: 675.11, 367.48, 546.44, 395.65, 467.60, 488.90.